Computed, not measured: crystalline MgMn2O5 at its relaxed geometry at the GGA+U level of DFT.

Cell lengths 5.2152, 5.2152, 11.4016 Å; angles 90.00, 90.00, 138.27 degrees
Closest atoms and distances in Å follow each position.
Sites, in units of the cell vectors:
Mg  0.0910  0.9090  0.7500  4 O 1.97-2.11
Mg  0.9090  0.0910  0.2500  4 O 1.97-2.11
Mn  0.2192  0.7808  0.0986  1 O 1.72
Mn  0.2192  0.7808  0.4014  1 O 1.72
Mn  0.7808  0.2192  0.5986  1 O 1.72
Mn  0.7808  0.2192  0.9014  1 O 1.72
O  0.0455  0.9545  0.1225  1 Mn 1.72
O  0.0455  0.9545  0.3775  1 Mn 1.72
O  0.2333  0.7667  0.5787  3 Mn 1.93-2.03
O  0.2333  0.7667  0.9213  3 Mn 1.93-2.03
O  0.3064  0.6936  0.2500  2 Mn 1.92, 2 Mg 2.11
O  0.6936  0.3064  0.7500  2 Mn 1.92, 2 Mg 2.11
O  0.7667  0.2333  0.0787  3 Mn 1.93-2.03
O  0.7667  0.2333  0.4213  3 Mn 1.93-2.03
O  0.9545  0.0455  0.6225  1 Mn 1.72
O  0.9545  0.0455  0.8775  1 Mn 1.72

Properties
energy	-6.60	eV per atom
energy above the lowest structure with this stoichiometry	0.0	meV/atom
theoretical density	3.446	Mg/m³